Computed, not measured: crystalline Mg2BeSe at its relaxed geometry at the GGA-PBEsol level of DFT.

```
data_Mg2BeSe
_cell_length_a 4.1502
_cell_length_b 4.1502
_cell_length_c 8.1480
_cell_angle_alpha 90.00
_cell_angle_beta 90.00
_cell_angle_gamma 90.00
_symmetry_space_group_name_H-M 'I 4/m m m'
_symmetry_Int_Tables_number 139
_symmetry_space_group_name_Hall '-I 4 2'
loop_
_atom_site_label
_atom_site_type_symbol
_atom_site_fract_x
_atom_site_fract_y
_atom_site_fract_z
Mg1 Mg 0.0000 0.5000 0.2500
Be1 Be 0.0000 0.0000 0.0000
Se1 Se 0.0000 0.0000 0.5000
```

Output
Formation energy from raw total energies (eV per atom): 0.05
V (Å³/atom): 17.543
Electronic total energy (eV for the cell shown): -22.14
Crystal system: tetragonal
Energy above the most stable polymorph in this dataset (eV/atom): 0.040